# 1
The following is a DFT calculation (PBE) of crystalline PmBeAg3 at its relaxed geometry.

Properties
- total moment (μB per formula unit) = 0.00
- ΔH_f (0 K) (eV/atom) = -0.02
- E (eV per atom) = -3.4228
- space-group type = Pm-3m, No. 221
- crystal system = cubic

Unit cell a=4.627 b=4.627 c=4.627 alpha=90.00 beta=90.00 gamma=90.00
Fractional coordinates of all 5 atoms:
Pm: 0.000 0.000 0.000
Be: 0.500 0.500 0.500
Ag: 0.000 0.500 0.500
Ag: 0.500 0.000 0.500
Ag: 0.500 0.500 0.000

***

# 2
The following is a DFT calculation (PBE) of crystalline Pr3Tm2Pb4 at its relaxed geometry.

Properties
- total moment (μB per formula unit) = 0.00
- ΔH_f (0 K) (eV/atom) = -0.43
- offset from the most stable computed form (kJ/mol of formula units) = 26.2
- E (eV per atom) = -4.6664
- space-group type = C2/m, No. 12
- crystal system = monoclinic

Unit cell a=7.311 b=7.311 c=10.095 alpha=116.14 beta=116.14 gamma=37.28
Fractional coordinates of all 9 atoms:
Pr: 0.000 0.000 0.000
Pr: 0.374 0.374 0.303
Pr: 0.626 0.626 0.697
Tm: 0.319 0.319 0.650
Tm: 0.681 0.681 0.350
Pb: 0.068 0.068 0.406
Pb: 0.303 0.303 0.940
Pb: 0.697 0.697 0.060
Pb: 0.932 0.932 0.594

***

# 3
The following is a DFT calculation (PBE) of crystalline BiTe2C at its relaxed geometry.

Properties
- total moment (μB per formula unit) = 0.00
- offset from the most stable computed form (kJ/mol of formula units) = 0.0
- E (eV per atom) = -3.8746
- space-group type = I-42d, No. 122
- crystal system = tetragonal

Unit cell a=6.641 b=6.641 c=6.641 alpha=116.36 beta=116.36 gamma=96.43
Fractional coordinates of all 8 atoms:
Bi: 0.000 0.000 0.000
Bi: 0.750 0.250 0.500
Te: 0.221 0.625 0.096
Te: 0.375 0.471 0.596
Te: 0.529 0.125 0.904
Te: 0.875 0.779 0.404
C: 0.250 0.750 0.500
C: 0.500 0.500 0.000

***

# 4
The following is a DFT calculation (PBE) of crystalline BaHg2O2 at its relaxed geometry.

Properties
- total moment (μB per formula unit) = 0.00
- E (eV per atom) = -3.6443
- space-group type = P-1, No. 2
- crystal system = triclinic

Unit cell a=5.525 b=7.101 c=7.679 alpha=93.10 beta=111.07 gamma=112.88
Fractional coordinates of all 10 atoms:
Ba: 0.123 0.473 0.274
Ba: 0.877 0.527 0.726
Hg: 0.187 0.154 0.720
Hg: 0.386 0.071 0.202
Hg: 0.614 0.929 0.798
Hg: 0.813 0.846 0.280
O: 0.165 0.761 0.072
O: 0.390 0.623 0.658
O: 0.610 0.377 0.342
O: 0.835 0.239 0.928

***

# 5
The following is a DFT calculation (PBE) of crystalline B2CS at its relaxed geometry.

Properties
- total moment (μB per formula unit) = 0.00
- offset from the most stable computed form (kJ/mol of formula units) = 206.0
- E (eV per atom) = -6.3049
- space-group type = Pm, No. 6
- crystal system = monoclinic

Unit cell a=2.619 b=4.778 c=4.270 alpha=90.00 beta=90.40 gamma=90.00
Fractional coordinates of all 4 atoms:
B: 0.000 0.174 0.000
B: 0.000 0.826 0.000
C: 0.499 0.000 0.931
S: 0.003 0.500 0.234

***

# 6
The following is a DFT calculation (PBE) of crystalline Sc2Re2W at its relaxed geometry.

Properties
- total moment (μB per formula unit) = 0.22
- ΔH_f (0 K) (eV/atom) = 0.71
- offset from the most stable computed form (kJ/mol of formula units) = 297.6
- E (eV per atom) = -9.3889
- space-group type = P4/mbm, No. 127
- crystal system = tetragonal

Unit cell a=8.039 b=8.039 c=2.729 alpha=90.00 beta=90.00 gamma=90.00
Fractional coordinates of all 10 atoms:
Sc: 0.124 0.376 0.000
Sc: 0.376 0.876 0.000
Sc: 0.624 0.124 0.000
Sc: 0.876 0.624 0.000
Re: 0.181 0.681 0.500
Re: 0.319 0.181 0.500
Re: 0.681 0.819 0.500
Re: 0.819 0.319 0.500
W: 0.000 0.000 0.000
W: 0.500 0.500 0.000

***

# 7
The following is a DFT calculation (PBE) of crystalline SmDy6Co2 at its relaxed geometry.

Properties
- total moment (μB per formula unit) = 0.00
- ΔH_f (0 K) (eV/atom) = -0.05
- E (eV per atom) = -5.2253
- space-group type = Immm, No. 71
- crystal system = orthorhombic

Unit cell a=8.518 b=8.518 c=8.518 alpha=112.13 beta=108.68 gamma=107.64
Fractional coordinates of all 18 atoms:
Sm: 0.000 0.000 0.000
Sm: 0.500 0.500 0.000
Dy: 0.023 0.240 0.783
Dy: 0.186 0.289 0.475
Dy: 0.186 0.711 0.897
Dy: 0.319 0.002 0.684
Dy: 0.319 0.635 0.316
Dy: 0.456 0.240 0.217
Dy: 0.544 0.760 0.783
Dy: 0.681 0.365 0.684
Dy: 0.681 0.998 0.316
Dy: 0.814 0.289 0.103
Dy: 0.814 0.711 0.525
Dy: 0.977 0.760 0.217
Co: 0.113 0.613 0.500
Co: 0.314 0.000 0.314
Co: 0.686 0.000 0.686
Co: 0.887 0.387 0.500

***

# 8
The following is a DFT calculation (PBE) of crystalline CrCoHg at its relaxed geometry.

Properties
- total moment (μB per formula unit) = 2.54
- ΔH_f (0 K) (eV/atom) = 0.59
- offset from the most stable computed form (kJ/mol of formula units) = 52.2
- E (eV per atom) = -5.0892
- space-group type = P-6m2, No. 187
- crystal system = hexagonal

Unit cell a=4.246 b=4.246 c=2.928 alpha=90.00 beta=90.00 gamma=120.00
Fractional coordinates of all 3 atoms:
Cr: 0.000 0.000 0.000
Co: 0.333 0.667 0.000
Hg: 0.667 0.333 0.500

***

# 9
The following is a DFT calculation (PBE) of crystalline Re2AgBiO8 at its relaxed geometry.

Properties
- total moment (μB per formula unit) = 0.00
- E (eV per atom) = -7.1240
- space-group type = C2/m, No. 12
- crystal system = monoclinic

Unit cell a=6.554 b=6.554 c=5.812 alpha=97.10 beta=97.10 gamma=60.41
Fractional coordinates of all 12 atoms:
Re: 0.198 0.198 0.123
Re: 0.802 0.802 0.877
Ag: 0.500 0.500 0.000
Bi: 0.000 0.000 0.500
O: 0.075 0.691 0.733
O: 0.155 0.155 0.816
O: 0.309 0.925 0.267
O: 0.352 0.352 0.223
O: 0.648 0.648 0.777
O: 0.691 0.075 0.733
O: 0.845 0.845 0.184
O: 0.925 0.309 0.267

***

# 10
The following is a DFT calculation (PBE) of crystalline Al3Tc2 at its relaxed geometry.

Properties
- total moment (μB per formula unit) = 0.00
- ΔH_f (0 K) (eV/atom) = -0.36
- offset from the most stable computed form (kJ/mol of formula units) = 0.0
- E (eV per atom) = -6.7480
- space-group type = I4/mmm, No. 139
- crystal system = tetragonal

Unit cell a=7.559 b=7.559 c=7.559 alpha=155.92 beta=155.92 gamma=34.32
Fractional coordinates of all 5 atoms:
Al: 0.000 0.000 0.000
Al: 0.195 0.195 0.000
Al: 0.805 0.805 0.000
Tc: 0.398 0.398 0.000
Tc: 0.602 0.602 0.000

***

# 11
The following is a DFT calculation (PBE) of crystalline SmDy6Er2Tm at its relaxed geometry.

Properties
- total moment (μB per formula unit) = 0.00
- ΔH_f (0 K) (eV/atom) = 0.12
- E (eV per atom) = -4.4724
- space-group type = C2/c, No. 15
- crystal system = monoclinic

Unit cell a=8.742 b=8.742 c=9.469 alpha=93.59 beta=93.59 gamma=117.67
Fractional coordinates of all 20 atoms:
Sm: 0.025 0.975 0.750
Sm: 0.975 0.025 0.250
Dy: 0.015 0.565 0.684
Dy: 0.123 0.753 0.056
Dy: 0.247 0.877 0.444
Dy: 0.291 0.508 0.882
Dy: 0.435 0.985 0.816
Dy: 0.492 0.709 0.618
Dy: 0.508 0.291 0.382
Dy: 0.565 0.015 0.184
Dy: 0.709 0.492 0.118
Dy: 0.753 0.123 0.556
Dy: 0.877 0.247 0.944
Dy: 0.985 0.435 0.316
Er: 0.200 0.305 0.546
Er: 0.305 0.200 0.046
Er: 0.695 0.800 0.954
Er: 0.800 0.695 0.454
Tm: 0.410 0.590 0.250
Tm: 0.590 0.410 0.750

***

# 12
The following is a DFT calculation (PBE) of crystalline LaNdSBr at its relaxed geometry.

Properties
- total moment (μB per formula unit) = 0.26
- E (eV per atom) = -5.5172
- space-group type = R3m, No. 160
- crystal system = trigonal

Unit cell a=8.114 b=8.114 c=8.114 alpha=28.67 beta=28.67 gamma=28.67
Fractional coordinates of all 4 atoms:
La: 0.000 0.000 0.000
Nd: 0.804 0.804 0.804
S: 0.403 0.403 0.403
Br: 0.231 0.231 0.231

***

# 13
The following is a DFT calculation (PBE) of crystalline Ni2RuSe at its relaxed geometry.

Properties
- total moment (μB per formula unit) = 0.00
- E (eV per atom) = -5.8317
- space-group type = Cmmm, No. 65
- crystal system = orthorhombic

Unit cell a=4.474 b=4.474 c=2.844 alpha=90.00 beta=90.00 gamma=112.13
Fractional coordinates of all 4 atoms:
Ni: 0.000 0.500 0.000
Ni: 0.500 0.000 0.000
Ru: 0.000 0.000 0.500
Se: 0.500 0.500 0.500

***

# 14
The following is a DFT calculation (PBE) of crystalline KSb2Br at its relaxed geometry.

Properties
- total moment (μB per formula unit) = 0.00
- offset from the most stable computed form (kJ/mol of formula units) = 293.2
- E (eV per atom) = -2.6633
- space-group type = P4/mmm, No. 123
- crystal system = tetragonal

Unit cell a=6.111 b=6.111 c=3.303 alpha=90.00 beta=90.00 gamma=90.00
Fractional coordinates of all 4 atoms:
K: 0.000 0.000 0.000
Sb: 0.000 0.500 0.500
Sb: 0.500 0.000 0.500
Br: 0.500 0.500 0.000

***

# 15
The following is a DFT calculation (PBE) of crystalline KSrCo4 at its relaxed geometry.

Properties
- total moment (μB per formula unit) = 5.42
- ΔH_f (0 K) (eV/atom) = 0.63
- E (eV per atom) = -4.5697
- space-group type = F-43m, No. 216
- crystal system = cubic

Unit cell a=5.278 b=5.278 c=5.278 alpha=60.00 beta=60.00 gamma=60.00
Fractional coordinates of all 6 atoms:
K: 0.000 0.000 0.000
Sr: 0.750 0.750 0.750
Co: 0.376 0.376 0.376
Co: 0.376 0.376 0.873
Co: 0.376 0.873 0.376
Co: 0.873 0.376 0.376

***

# 16
The following is a DFT calculation (PBE) of crystalline CeSbPt at its relaxed geometry.

Properties
- total moment (μB per formula unit) = 0.63
- E (eV per atom) = -6.0506
- space-group type = P6/mmm, No. 191
- crystal system = hexagonal

Unit cell a=5.136 b=5.136 c=5.735 alpha=90.00 beta=90.00 gamma=120.00
Fractional coordinates of all 6 atoms:
Ce: 0.000 0.000 0.237
Ce: 0.000 0.000 0.763
Sb: 0.333 0.667 0.500
Sb: 0.667 0.333 0.500
Pt: 0.333 0.667 0.000
Pt: 0.667 0.333 0.000

***

# 17
The following is a DFT calculation (PBE) of crystalline Pm2UIr2 at its relaxed geometry.

Properties
- total moment (μB per formula unit) = 1.08
- ΔH_f (0 K) (eV/atom) = -0.56
- E (eV per atom) = -8.2662
- space-group type = C2/c, No. 15
- crystal system = monoclinic

Unit cell a=6.317 b=6.317 c=7.326 alpha=99.58 beta=99.58 gamma=59.04
Fractional coordinates of all 10 atoms:
Pm: 0.028 0.268 0.142
Pm: 0.268 0.028 0.642
Pm: 0.732 0.972 0.358
Pm: 0.972 0.732 0.858
U: 0.414 0.586 0.250
U: 0.586 0.414 0.750
Ir: 0.208 0.504 0.488
Ir: 0.496 0.792 0.012
Ir: 0.504 0.208 0.988
Ir: 0.792 0.496 0.512

***

# 18
The following is a DFT calculation (PBE) of crystalline LiY2Sc at its relaxed geometry.

Properties
- total moment (μB per formula unit) = 0.00
- ΔH_f (0 K) (eV/atom) = 0.18
- offset from the most stable computed form (kJ/mol of formula units) = 41.3
- E (eV per atom) = -5.1087
- space-group type = P2/m, No. 10
- crystal system = monoclinic

Unit cell a=5.694 b=3.490 c=5.891 alpha=90.00 beta=108.21 gamma=90.00
Fractional coordinates of all 4 atoms:
Li: 0.000 0.000 0.000
Y: 0.500 0.000 0.500
Y: 0.500 0.500 0.000
Sc: 0.000 0.500 0.500

***

# 19
The following is a DFT calculation (PBE) of crystalline Re5Ir at its relaxed geometry.

Properties
- total moment (μB per formula unit) = 0.00
- ΔH_f (0 K) (eV/atom) = 0.00
- offset from the most stable computed form (kJ/mol of formula units) = 69.8
- E (eV per atom) = -11.8473
- space-group type = P4/mmm, No. 123
- crystal system = tetragonal

Unit cell a=2.752 b=2.752 c=11.804 alpha=90.00 beta=90.00 gamma=90.00
Fractional coordinates of all 6 atoms:
Re: 0.000 0.000 0.000
Re: 0.000 0.000 0.333
Re: 0.000 0.000 0.667
Re: 0.500 0.500 0.168
Re: 0.500 0.500 0.832
Ir: 0.500 0.500 0.500

***

# 20
The following is a DFT calculation (PBE) of crystalline ZnSe at its relaxed geometry.

Properties
- total moment (μB per formula unit) = 0.00
- E (eV per atom) = -2.5619
- space-group type = Cmmm, No. 65
- crystal system = orthorhombic

Unit cell a=4.713 b=4.713 c=3.562 alpha=90.00 beta=90.00 gamma=135.17
Fractional coordinates of all 2 atoms:
Zn: 0.000 0.000 0.000
Se: 0.500 0.500 0.500

***

# 21
The following is a DFT calculation (PBE) of crystalline FeSnPd at its relaxed geometry.

Properties
- total moment (μB per formula unit) = 1.00
- ΔH_f (0 K) (eV/atom) = 0.10
- E (eV per atom) = -5.7829
- space-group type = P-6m2, No. 187
- crystal system = hexagonal

Unit cell a=3.131 b=3.131 c=12.023 alpha=90.00 beta=90.00 gamma=120.00
Fractional coordinates of all 6 atoms:
Fe: 0.000 0.000 0.000
Fe: 0.333 0.667 0.500
Sn: 0.000 0.000 0.337
Sn: 0.000 0.000 0.663
Pd: 0.333 0.667 0.161
Pd: 0.333 0.667 0.839

***

# 22
The following is a DFT calculation (PBE) of crystalline Mo2SeS3 at its relaxed geometry.

Properties
- total moment (μB per formula unit) = 0.00
- offset from the most stable computed form (kJ/mol of formula units) = 0.0
- E (eV per atom) = -7.0742
- space-group type = P3m1, No. 156
- crystal system = trigonal

Unit cell a=3.223 b=3.223 c=14.090 alpha=90.00 beta=90.00 gamma=120.00
Fractional coordinates of all 6 atoms:
Mo: 0.000 0.000 0.000
Mo: 0.333 0.667 0.492
Se: 0.333 0.667 0.878
S: 0.000 0.000 0.382
S: 0.000 0.000 0.603
S: 0.333 0.667 0.109

***

# 23
The following is a DFT calculation (PBE) of crystalline YHfRe4 at its relaxed geometry.

Properties
- total moment (μB per formula unit) = 0.00
- ΔH_f (0 K) (eV/atom) = -0.23
- E (eV per atom) = -11.2664
- space-group type = F-43m, No. 216
- crystal system = cubic

Unit cell a=5.351 b=5.351 c=5.351 alpha=60.00 beta=60.00 gamma=60.00
Fractional coordinates of all 6 atoms:
Y: 0.000 0.000 0.000
Hf: 0.250 0.250 0.250
Re: 0.126 0.625 0.625
Re: 0.625 0.126 0.625
Re: 0.625 0.625 0.126
Re: 0.625 0.625 0.625

***

# 24
The following is a DFT calculation (PBE) of crystalline La2UCrN6 at its relaxed geometry.

Properties
- total moment (μB per formula unit) = 0.00
- E (eV per atom) = -8.9719
- space-group type = P4/mmm, No. 123
- crystal system = tetragonal

Unit cell a=4.062 b=4.062 c=8.217 alpha=90.00 beta=90.00 gamma=90.00
Fractional coordinates of all 10 atoms:
La: 0.000 0.000 0.211
La: 0.000 0.000 0.789
U: 0.500 0.500 0.500
Cr: 0.500 0.500 0.000
N: 0.000 0.500 0.000
N: 0.000 0.500 0.500
N: 0.500 0.000 0.000
N: 0.500 0.000 0.500
N: 0.500 0.500 0.231
N: 0.500 0.500 0.769

***

# 25
The following is a DFT calculation (PBE) of crystalline Pm2PrSm2Tm2 at its relaxed geometry.

Properties
- total moment (μB per formula unit) = 0.00
- ΔH_f (0 K) (eV/atom) = 0.02
- E (eV per atom) = -4.6478
- space-group type = C2/m, No. 12
- crystal system = monoclinic

Unit cell a=6.230 b=6.230 c=8.090 alpha=97.44 beta=97.44 gamma=48.32
Fractional coordinates of all 7 atoms:
Pm: 0.143 0.143 0.430
Pm: 0.857 0.857 0.570
Pr: 0.000 0.000 0.000
Sm: 0.428 0.428 0.283
Sm: 0.572 0.572 0.717
Tm: 0.285 0.285 0.858
Tm: 0.715 0.715 0.142